Record 1
This record from Alexandria describes a relaxed KHg2Pt crystal. The functional is PBE.

a = 5.5998 Å, b = 5.5998 Å, c = 5.5998 Å
α = 131.94°, β = 131.94°, γ = 70.32°
With the nearest neighbours (Å) after each atom.
Atoms (fractional coordinates):
Hg (0.2500, 0.7500, 0.5000)  4 Pt 3.22, 4 Hg 3.23, 4 K 3.23
Hg (0.0000, 0.0000, 0.0000)  4 K 3.22, 4 Hg 3.23, 4 Pt 3.23
Pt (0.7500, 0.2500, 0.5000)  8 Hg 3.22-3.23, 4 K 3.23
K (0.5000, 0.5000, 0.0000)  8 Hg 3.22-3.23, 4 Pt 3.23

Calculated values
- DFT total energy (eV per atom) = -1.792
- offset from the most stable computed form (meV/atom) = 314.7
- ΔE_f (meV/atom) = 143
- size of the total moment (μB per cell) = 0.0

Record 2
This record from Alexandria describes a relaxed Rb2FeCuCl6 crystal. The functional is PBE.

a = 7.4039 Å, b = 7.4039 Å, c = 6.9342 Å
α = 57.73°, β = 57.73°, γ = 90.00°
With the nearest neighbours (Å) after each atom.
Atoms (fractional coordinates):
Cu (0.0000, 0.0000, 0.0000)  2 Cl 2.17
Rb (0.7500, 0.2500, 0.5000)  12 Cl 3.47-3.70
Rb (0.2500, 0.7500, 0.5000)  12 Cl 3.47-3.70
Cl (0.7320, 0.2680, 0.0000)  1 Fe 2.43
Cl (0.7320, 0.7320, 0.0000)  1 Fe 2.43
Cl (0.2680, 0.2680, 0.0000)  1 Fe 2.43
Cl (0.7611, 0.7611, 0.4777)  1 Cu 2.17, 1 Fe 2.37
Cl (0.2389, 0.2389, 0.5223)  1 Cu 2.17, 1 Fe 2.37
Cl (0.2680, 0.7320, 0.0000)  1 Fe 2.43
Fe (0.5000, 0.5000, 0.0000)  6 Cl 2.37-2.43

Calculated values
- DFT total energy (eV per atom) = -3.723
- energy relative to the elements, uncorrected (kcal/mol of atoms) = -26.889
- size of the total moment (μB per cell) = 4.6